Entry from Alexandria via LeMat-Bulk: a relaxed structure of RbSrCr3 (GGA-PBE).

The calculated formation energy comes out at 1.92 eV/atom. The energy comes out at -21.91 eV for the cell shown.

The structure belongs to space group Pm-3m (No. 221); the cell edges are 5.895, 5.895 and 5.895 Å and the angles 90.00°, 90.00° and 90.00°. The inequivalent atoms are Rb at (0.000, 0.000, 0.000), Sr at (0.500, 0.500, 0.500) and Cr at (0.000, 0.000, 0.500).